one:
Pm2Dy2Tm3 | PBE | relaxed

Results
SG: C2/m
Total magnetization in μB per formula unit: 0.00

Cell lengths 8.8912, 8.8912, 8.4945 Å; angles 118.48, 118.48, 22.66 degrees
Fractional coordinates of all 7 atoms:
Pm: 0.0672 0.0672 0.4117
Pm: 0.9328 0.9328 0.5883
Dy: 0.3502 0.3502 0.1667
Dy: 0.6498 0.6498 0.8333
Tm: 0.2884 0.2884 0.6991
Tm: 0.5000 0.5000 0.0000
Tm: 0.7116 0.7116 0.3009



two:
Pm2Dy2Tm3 | PBE | relaxed

Results
SG: I2_13
Total magnetization in μB per formula unit: 0.00

Cell lengths 8.3827, 8.3827, 8.3827 Å; angles 109.47, 109.47, 109.47 degrees
Fractional coordinates of all 14 atoms:
Pm: 0.0000 0.8132 0.5000
Pm: 0.5000 0.0000 0.8132
Pm: 0.6868 0.6868 0.6868
Pm: 0.8132 0.5000 0.0000
Dy: 0.0000 0.4157 0.5000
Dy: 0.0843 0.0843 0.0843
Dy: 0.4157 0.5000 0.0000
Dy: 0.5000 0.0000 0.4157
Tm: 0.1946 0.7500 0.9446
Tm: 0.2500 0.5554 0.3054
Tm: 0.3054 0.2500 0.5554
Tm: 0.5554 0.3054 0.2500
Tm: 0.7500 0.9446 0.1946
Tm: 0.9446 0.1946 0.7500



Going by the energies, one is most stable and the next is 9.7 kJ/mol of atoms up.



one:
Pm2Dy2Tm | PBE | relaxed

Results
SG: Imma
Total magnetization in μB per formula unit: 0.00

Cell lengths 16.3419, 16.3419, 16.3419 Å; angles 167.40, 159.89, 23.80 degrees
Fractional coordinates of all 10 atoms:
Pm: 0.0437 0.2937 0.7500
Pm: 0.4399 0.1899 0.2500
Pm: 0.5601 0.8101 0.7500
Pm: 0.9563 0.7063 0.2500
Dy: 0.1322 0.8822 0.2500
Dy: 0.2292 0.9792 0.2500
Dy: 0.7708 0.0208 0.7500
Dy: 0.8678 0.1178 0.7500
Tm: 0.3259 0.5759 0.7500
Tm: 0.6741 0.4241 0.2500



two:
Pm2Dy2Tm | PBE | relaxed

Results
SG: C2/c
Total magnetization in μB per formula unit: 0.00

Cell lengths 8.6280, 8.6280, 6.7640 Å; angles 101.24, 101.24, 41.57 degrees
Fractional coordinates of all 10 atoms:
Pm: 0.1406 0.2500 0.0790
Pm: 0.2500 0.1406 0.5790
Pm: 0.7500 0.8594 0.4210
Pm: 0.8594 0.7500 0.9210
Dy: 0.3265 0.4845 0.3536
Dy: 0.4845 0.3265 0.8536
Dy: 0.5155 0.6735 0.1464
Dy: 0.6735 0.5155 0.6464
Tm: 0.0739 0.9261 0.7500
Tm: 0.9261 0.0739 0.2500



Going by the energies, two is most stable and the next is 7.3 kJ/mol of atoms up.



one:
Pm5DyTm3 | PBE | relaxed

Results
SG: I4/mcm
Total magnetization in μB per formula unit: 0.00

Cell lengths 9.6636, 9.6636, 9.6636 Å; angles 123.04, 123.04, 84.80 degrees
Fractional coordinates of all 18 atoms:
Pm: 0.0000 0.0000 0.0000
Pm: 0.0692 0.5692 0.9022
Pm: 0.1670 0.0692 0.5000
Pm: 0.3330 0.8330 0.9022
Pm: 0.4308 0.3330 0.5000
Pm: 0.5000 0.5000 0.0000
Pm: 0.5692 0.6670 0.5000
Pm: 0.6670 0.1670 0.0978
Pm: 0.8330 0.9308 0.5000
Pm: 0.9308 0.4308 0.0978
Dy: 0.2500 0.7500 0.5000
Dy: 0.7500 0.2500 0.5000
Tm: 0.1100 0.3900 0.5000
Tm: 0.2500 0.2500 0.0000
Tm: 0.3900 0.8900 0.2800
Tm: 0.6100 0.1100 0.7200
Tm: 0.7500 0.7500 0.0000
Tm: 0.8900 0.6100 0.5000



two:
Pm5DyTm3 | PBE | relaxed

Results
SG: C2/c
Total magnetization in μB per formula unit: 0.00

Cell lengths 8.8326, 8.8326, 11.5178 Å; angles 107.02, 107.02, 44.76 degrees
Fractional coordinates of all 18 atoms:
Pm: 0.1432 0.3751 0.6428
Pm: 0.2190 0.7810 0.7500
Pm: 0.3751 0.1432 0.1428
Pm: 0.3865 0.3975 0.4545
Pm: 0.3975 0.3865 0.9545
Pm: 0.6025 0.6135 0.0455
Pm: 0.6135 0.6025 0.5455
Pm: 0.6249 0.8568 0.8572
Pm: 0.7810 0.2190 0.2500
Pm: 0.8568 0.6249 0.3572
Dy: 0.3179 0.6821 0.2500
Dy: 0.6821 0.3179 0.7500
Tm: 0.0000 0.0000 0.0000
Tm: 0.0000 0.0000 0.5000
Tm: 0.0596 0.2910 0.8748
Tm: 0.2910 0.0596 0.3748
Tm: 0.7090 0.9404 0.6252
Tm: 0.9404 0.7090 0.1252



Going by the energies, two is most stable and the next is 14.1 kJ/mol of atoms up.



one:
Pm5Dy12Tm2 | PBE | relaxed

Results
SG: P-1
Total magnetization in μB per formula unit: 0.00

Cell lengths 6.1681, 9.4292, 11.2677 Å; angles 83.00, 79.43, 71.01 degrees
Fractional coordinates of all 19 atoms:
Pm: 0.0000 0.0000 0.0000
Pm: 0.1578 0.3165 0.0526
Pm: 0.4207 0.8404 0.4739
Pm: 0.5793 0.1596 0.5261
Pm: 0.8422 0.6835 0.9474
Dy: 0.0514 0.1066 0.6838
Dy: 0.1053 0.2122 0.3687
Dy: 0.2101 0.4211 0.7352
Dy: 0.3164 0.6311 0.1070
Dy: 0.3694 0.7350 0.7883
Dy: 0.4739 0.9475 0.1591
Dy: 0.5261 0.0525 0.8409
Dy: 0.6306 0.2650 0.2117
Dy: 0.6836 0.3689 0.8930
Dy: 0.7899 0.5789 0.2648
Dy: 0.8947 0.7878 0.6313
Dy: 0.9486 0.8934 0.3162
Tm: 0.2627 0.5261 0.4215
Tm: 0.7373 0.4739 0.5785



two:
Pm5Dy12Tm2 | PBE | relaxed

Results
SG: C2/m
Total magnetization in μB per formula unit: 0.00

Cell lengths 9.0704, 9.0704, 8.6318 Å; angles 91.93, 91.93, 61.36 degrees
Fractional coordinates of all 19 atoms:
Pm: 0.0000 0.0000 0.0000
Pm: 0.2311 0.2311 0.0706
Pm: 0.2930 0.2930 0.4781
Pm: 0.7070 0.7070 0.5219
Pm: 0.7689 0.7689 0.9294
Dy: 0.0322 0.6729 0.2610
Dy: 0.0728 0.0728 0.3755
Dy: 0.1788 0.5620 0.8274
Dy: 0.3271 0.9678 0.7390
Dy: 0.4380 0.8212 0.1726
Dy: 0.4436 0.4436 0.1627
Dy: 0.5564 0.5564 0.8373
Dy: 0.5620 0.1788 0.8274
Dy: 0.6729 0.0322 0.2610
Dy: 0.8212 0.4380 0.1726
Dy: 0.9272 0.9272 0.6245
Dy: 0.9678 0.3271 0.7390
Tm: 0.3278 0.6722 0.5000
Tm: 0.6722 0.3278 0.5000



Going by the energies, one is most stable and the next is 9.6 kJ/mol of atoms up.



one:
PmDy4Tm7 | PBE | relaxed

Results
SG: C2/m
Total magnetization in μB per formula unit: 0.00

Cell lengths 6.6637, 6.6637, 12.5431 Å; angles 115.03, 115.03, 51.53 degrees
Fractional coordinates of all 12 atoms:
Pm: 0.0000 0.0000 0.0000
Dy: 0.2457 0.2457 0.6812
Dy: 0.3666 0.3666 0.2251
Dy: 0.6334 0.6334 0.7749
Dy: 0.7543 0.7543 0.3188
Tm: 0.0606 0.0606 0.3267
Tm: 0.2113 0.2113 0.9231
Tm: 0.3651 0.3651 0.4979
Tm: 0.5000 0.5000 0.0000
Tm: 0.6349 0.6349 0.5021
Tm: 0.7887 0.7887 0.0769
Tm: 0.9394 0.9394 0.6733



two:
PmDy4Tm7 | PBE | relaxed

Results
SG: P-1
Total magnetization in μB per formula unit: 0.00

Cell lengths 6.1508, 7.0986, 8.7294 Å; angles 89.97, 76.42, 89.97 degrees
Fractional coordinates of all 12 atoms:
Pm: 0.0000 0.0000 0.0000
Dy: 0.2217 0.4997 0.3338
Dy: 0.2788 0.7498 0.6643
Dy: 0.7212 0.2502 0.3357
Dy: 0.7783 0.5003 0.6662
Tm: 0.0000 0.5000 0.0000
Tm: 0.2223 0.9999 0.3343
Tm: 0.2784 0.2504 0.6652
Tm: 0.4995 0.2496 0.9998
Tm: 0.5005 0.7504 0.0002
Tm: 0.7216 0.7496 0.3348
Tm: 0.7777 0.0001 0.6657



Going by the energies, two is most stable and the next is 27.4 kJ/mol of atoms up.



one:
Pm5Dy3Tm3 | PBE | relaxed

Results
SG: P-62m
Total magnetization in μB per formula unit: 0.00

Cell lengths 11.2085, 11.2085, 3.4398 Å; angles 90.00, 90.00, 120.00 degrees
Fractional coordinates of all 11 atoms:
Pm: 0.0000 0.3382 0.0000
Pm: 0.3333 0.6667 0.0000
Pm: 0.3382 0.0000 0.0000
Pm: 0.6618 0.6618 0.0000
Pm: 0.6667 0.3333 0.0000
Dy: 0.0000 0.5957 0.5000
Dy: 0.4043 0.4043 0.5000
Dy: 0.5957 0.0000 0.5000
Tm: 0.0000 0.8408 0.0000
Tm: 0.1592 0.1592 0.0000
Tm: 0.8408 0.0000 0.0000



two:
Pm5Dy3Tm3 | PBE | relaxed

Results
SG: P-62m
Total magnetization in μB per formula unit: 0.00

Cell lengths 11.1473, 11.1473, 3.4615 Å; angles 90.00, 90.00, 120.00 degrees
Fractional coordinates of all 11 atoms:
Pm: 0.0000 0.1617 0.0000
Pm: 0.1617 0.0000 0.0000
Pm: 0.3333 0.6667 0.0000
Pm: 0.6667 0.3333 0.0000
Pm: 0.8383 0.8383 0.0000
Dy: 0.0000 0.4061 0.5000
Dy: 0.4061 0.0000 0.5000
Dy: 0.5939 0.5939 0.5000
Tm: 0.0000 0.6580 0.0000
Tm: 0.3420 0.3420 0.0000
Tm: 0.6580 0.0000 0.0000



Going by the energies, one is most stable and the next is 2.6 kJ/mol of atoms up.



one:
Pm6DyTm3 | PBE | relaxed

Results
SG: Cmc2_1
Total magnetization in μB per formula unit: 0.00

Cell lengths 11.0721, 11.0721, 6.2804 Å; angles 90.00, 90.00, 120.67 degrees
Fractional coordinates of all 20 atoms:
Pm: 0.0377 0.9623 0.5000
Pm: 0.0573 0.4789 0.9570
Pm: 0.2801 0.7199 0.2490
Pm: 0.2884 0.3741 0.1447
Pm: 0.3741 0.2884 0.6447
Pm: 0.4789 0.0573 0.4570
Pm: 0.5211 0.9427 0.9570
Pm: 0.6259 0.7116 0.1447
Pm: 0.7116 0.6259 0.6447
Pm: 0.7199 0.2801 0.7490
Pm: 0.9427 0.5211 0.4570
Pm: 0.9623 0.0377 0.0000
Dy: 0.1972 0.8028 0.7154
Dy: 0.8028 0.1972 0.2154
Tm: 0.0544 0.2806 0.5679
Tm: 0.2806 0.0544 0.0679
Tm: 0.3862 0.6138 0.6798
Tm: 0.6138 0.3862 0.1798
Tm: 0.7194 0.9456 0.5679
Tm: 0.9456 0.7194 0.0679



two:
Pm6DyTm3 | PBE | relaxed

Results
SG: Cmc2_1
Total magnetization in μB per formula unit: 0.00

Cell lengths 11.6812, 11.6812, 6.4003 Å; angles 90.00, 90.00, 130.60 degrees
Fractional coordinates of all 20 atoms:
Pm: 0.0160 0.9840 0.5000
Pm: 0.1056 0.5448 0.9893
Pm: 0.2604 0.3797 0.7395
Pm: 0.3007 0.6993 0.5167
Pm: 0.3797 0.2604 0.2395
Pm: 0.4552 0.8944 0.9893
Pm: 0.5448 0.1056 0.4893
Pm: 0.6203 0.7396 0.7395
Pm: 0.6993 0.3007 0.0167
Pm: 0.7396 0.6203 0.2395
Pm: 0.8944 0.4552 0.4893
Pm: 0.9840 0.0160 0.0000
Dy: 0.1582 0.8418 0.2982
Dy: 0.8418 0.1582 0.7982
Tm: 0.0426 0.2930 0.3213
Tm: 0.2930 0.0426 0.8213
Tm: 0.4193 0.5807 0.2195
Tm: 0.5807 0.4193 0.7195
Tm: 0.7070 0.9574 0.3213
Tm: 0.9574 0.7070 0.8213



Going by the energies, two is most stable and the next is 1.6 kJ/mol of atoms up.



one:
Pm2Dy12Tm5 | PBE | relaxed

Results
SG: C2/m
Total magnetization in μB per formula unit: 0.00

Cell lengths 9.0983, 9.0983, 8.4792 Å; angles 90.73, 90.73, 60.56 degrees
Fractional coordinates of all 19 atoms:
Pm: 0.1828 0.8172 0.0000
Pm: 0.8172 0.1828 0.0000
Dy: 0.0588 0.0588 0.3302
Dy: 0.0663 0.6820 0.3464
Dy: 0.1611 0.5240 0.7564
Dy: 0.3180 0.9337 0.6536
Dy: 0.4052 0.4052 0.1166
Dy: 0.4760 0.8389 0.2436
Dy: 0.5240 0.1611 0.7564
Dy: 0.5948 0.5948 0.8834
Dy: 0.6820 0.0663 0.3464
Dy: 0.8389 0.4760 0.2436
Dy: 0.9337 0.3180 0.6536
Dy: 0.9412 0.9412 0.6698
Tm: 0.1965 0.1965 0.0090
Tm: 0.2680 0.2680 0.4244
Tm: 0.5000 0.5000 0.5000
Tm: 0.7320 0.7320 0.5756
Tm: 0.8035 0.8035 0.9910



two:
Pm2Dy12Tm5 | PBE | relaxed

Results
SG: P-1
Total magnetization in μB per formula unit: 0.00

Cell lengths 6.1250, 9.3464, 10.6288 Å; angles 78.99, 84.39, 89.94 degrees
Fractional coordinates of all 19 atoms:
Pm: 0.2361 0.4467 0.0801
Pm: 0.7639 0.5533 0.9199
Dy: 0.0265 0.6060 0.3430
Dy: 0.1308 0.0270 0.7096
Dy: 0.1845 0.2361 0.3966
Dy: 0.2899 0.6590 0.7607
Dy: 0.3950 0.0776 0.1324
Dy: 0.4462 0.2876 0.8145
Dy: 0.5538 0.7124 0.1855
Dy: 0.6050 0.9224 0.8676
Dy: 0.7101 0.3410 0.2393
Dy: 0.8155 0.7639 0.6034
Dy: 0.8692 0.9730 0.2904
Dy: 0.9735 0.3940 0.6570
Tm: 0.0793 0.8182 0.0262
Tm: 0.3434 0.8687 0.4472
Tm: 0.5000 0.5000 0.5000
Tm: 0.6566 0.1313 0.5528
Tm: 0.9207 0.1818 0.9738



Going by the energies, two is most stable and the next is 11.2 kJ/mol of atoms up.



one:
Pm8Dy3Tm2 | PBE | relaxed

Results
SG: P-1
Total magnetization in μB per formula unit: 0.00

Cell lengths 6.2349, 6.2368, 11.3855 Å; angles 79.43, 89.88, 80.36 degrees
Fractional coordinates of all 13 atoms:
Pm: 0.0790 0.0393 0.3477
Pm: 0.1539 0.5777 0.1934
Pm: 0.3082 0.6542 0.8838
Pm: 0.3844 0.1930 0.7286
Pm: 0.6156 0.8070 0.2714
Pm: 0.6918 0.3458 0.1162
Pm: 0.8461 0.4223 0.8066
Pm: 0.9210 0.9607 0.6523
Dy: 0.0000 0.5000 0.5000
Dy: 0.2311 0.1141 0.0386
Dy: 0.7689 0.8859 0.9614
Tm: 0.4606 0.7304 0.5755
Tm: 0.5394 0.2696 0.4245



two:
Pm8Dy3Tm2 | PBE | relaxed

Results
SG: P2/m
Total magnetization in μB per formula unit: 0.00

Cell lengths 7.7183, 5.7176, 10.8085 Å; angles 90.00, 110.87, 90.00 degrees
Fractional coordinates of all 13 atoms:
Pm: 0.0991 0.0000 0.2862
Pm: 0.1729 0.5000 0.8459
Pm: 0.3132 0.0000 0.7139
Pm: 0.3678 0.5000 0.2358
Pm: 0.6322 0.5000 0.7642
Pm: 0.6868 0.0000 0.2861
Pm: 0.8271 0.5000 0.1541
Pm: 0.9009 0.0000 0.7138
Dy: 0.2138 0.5000 0.5000
Dy: 0.5000 0.0000 0.5000
Dy: 0.7862 0.5000 0.5000
Tm: 0.2601 0.0000 0.0198
Tm: 0.7399 0.0000 0.9802



Going by the energies, one is most stable and the next is 18.6 kJ/mol of atoms up.